1 | The following is a DFT calculation (GGA-PBE) of a relaxed structure of SnOsRu.

```
data_SnOsRu
_cell_length_a 9.282
_cell_length_b 2.971
_cell_length_c 7.380
_cell_angle_alpha 90.00
_cell_angle_beta 99.40
_cell_angle_gamma 90.00
_space_group_name_H-M_alt 'C 1 m 1'
_space_group_IT_number 8
loop_
_space_group_symop_operation_xyz
'x,y,z'
'x,-y,z'
'x+1/2,y+1/2,z'
'x+1/2,-y+1/2,z'
loop_
_atom_site_label
_atom_site_type_symbol
_atom_site_fract_x
_atom_site_fract_y
_atom_site_fract_z
Sn1 Sn 0.000 0.000 0.000
Sn2 Sn 0.202 0.500 0.751
Os1 Os 0.223 0.000 0.426
Os2 Os 0.245 0.500 0.139
Ru1 Ru 0.459 0.500 0.615
Ru2 Ru 0.481 0.000 0.325
```

Computed properties:
Magnetic moment   0.000 μB per cell
D(E_F)   0.860 states/eV/atom

2 | The following is a DFT calculation (GGA-PBE) of a relaxed structure of SnOsRu.

```
data_SnOsRu
_cell_length_a 9.981
_cell_length_b 2.964
_cell_length_c 7.637
_cell_angle_alpha 90.00
_cell_angle_beta 118.88
_cell_angle_gamma 90.00
_space_group_name_H-M_alt 'C 1 2/m 1'
_space_group_IT_number 12
loop_
_space_group_symop_operation_xyz
'x,y,z'
'-x,-y,-z'
'-x,y,-z'
'x,-y,z'
'x+1/2,y+1/2,z'
'-x+1/2,-y+1/2,-z'
'-x+1/2,y+1/2,-z'
'x+1/2,-y+1/2,z'
loop_
_atom_site_label
_atom_site_type_symbol
_atom_site_fract_x
_atom_site_fract_y
_atom_site_fract_z
Sn1 Sn 0.070 0.000 0.310
Os1 Os 0.154 0.500 0.030
Ru1 Ru 0.154 0.500 0.667
```

Computed properties:
Magnetic moment   0.000 μB per cell
D(E_F)   0.603 states/eV/atom

3 | The following is a DFT calculation (GGA-PBE) of a relaxed structure of SnOsRu.

```
data_SnOsRu
_cell_length_a 2.903
_cell_length_b 2.890
_cell_length_c 6.168
_cell_angle_alpha 90.00
_cell_angle_beta 100.09
_cell_angle_gamma 90.00
_space_group_name_H-M_alt 'P 1 m 1'
_space_group_IT_number 6
loop_
_space_group_symop_operation_xyz
'x,y,z'
'x,-y,z'
loop_
_atom_site_label
_atom_site_type_symbol
_atom_site_fract_x
_atom_site_fract_y
_atom_site_fract_z
Sn1 Sn 0.000 0.000 0.000
Os1 Os 0.304 0.000 0.607
Ru1 Ru 0.706 0.500 0.342
```

Computed properties:
Magnetic moment   0.000 μB per cell
D(E_F)   0.258 states/eV/atom

Tell me which of them is the least stable. Sure, it is 3.

1 | The following is a DFT calculation (GGA-PBE) of a relaxed structure of Sn3OsRu.

```
data_Sn3OsRu
_cell_length_a 5.066
_cell_length_b 5.066
_cell_length_c 5.066
_cell_angle_alpha 90.00
_cell_angle_beta 90.00
_cell_angle_gamma 90.00
_space_group_name_H-M_alt 'P m -3 m'
_space_group_IT_number 221
_space_group_name_Hall '-P 4 2 3'
loop_
_atom_site_label
_atom_site_type_symbol
_atom_site_fract_x
_atom_site_fract_y
_atom_site_fract_z
Sn1 Sn 0.000 0.000 0.500
Os1 Os 0.500 0.500 0.500
Ru1 Ru 0.000 0.000 0.000
```

Computed properties:
Magnetic moment   2.000 μB per cell
D(E_F)   1.240 states/eV/atom

2 | The following is a DFT calculation (GGA-PBE) of a relaxed structure of Sn3OsRu.

```
data_Sn3OsRu
_cell_length_a 5.098
_cell_length_b 5.098
_cell_length_c 5.098
_cell_angle_alpha 90.00
_cell_angle_beta 90.00
_cell_angle_gamma 90.00
_space_group_name_H-M_alt 'P m -3 m'
_space_group_IT_number 221
_space_group_name_Hall '-P 4 2 3'
loop_
_atom_site_label
_atom_site_type_symbol
_atom_site_fract_x
_atom_site_fract_y
_atom_site_fract_z
Sn1 Sn 0.000 0.000 0.500
Os1 Os 0.000 0.000 0.000
Ru1 Ru 0.500 0.500 0.500
```

Computed properties:
Magnetic moment   1.860 μB per cell
D(E_F)   1.802 states/eV/atom

Tell me which of them is the least stable. Sure, it is 1.